VASP calculation (PBE) on an optimized crystal structure of FeCo3Ni.

Cell lengths 2.437, 4.389, 6.098 Å; angles 90.00, 99.99, 90.00 degrees
Space group P2/m (No. 10)
Unique sites:
Fe  0.000  0.000  0.000 x1
Co  0.000  0.000  0.500 x1
Co  0.362  0.500  0.669 x2
Ni  0.000  0.500  0.000 x1

Calculated values
calculated total energy	-6.57	eV per atom
N(E_F)	5.708	states/eV/cell